## a
# Cu2HgAu2

Crystalline Cu2HgAu2 at its relaxed geometry (PBE-GGA, the Alexandria database).

* size of the total moment: 0.0 μB per cell
* crystal system: tetragonal

Cell lengths 6.696, 6.696, 6.696 Å; angles 146.47, 146.47, 48.14 degrees
Element x y z (fractional)
Cu1 0.097 0.097 0.000
Cu2 0.903 0.903 0.000
Hg1 0.500 0.500 0.000
Au1 0.250 0.750 0.500
Au2 0.750 0.250 0.500



## b
# Cu2HgAu2

Crystalline Cu2HgAu2 at its relaxed geometry (PBE-GGA, the Alexandria database).

* size of the total moment: 0.0 μB per cell
* crystal system: tetragonal

Cell lengths 7.325, 7.325, 7.325 Å; angles 151.45, 151.45, 40.81 degrees
Element x y z (fractional)
Cu1 0.250 0.750 0.500
Cu2 0.750 0.250 0.500
Hg1 0.000 0.000 0.000
Au1 0.391 0.391 0.000
Au2 0.609 0.609 0.000



The most stable arrangement is b, and the next structure is 4.8 kJ/mol of atoms less stable.



## a
# Cu2HgAu2

Crystalline Cu2HgAu2 at its relaxed geometry (PBE-GGA, the Alexandria database).

* size of the total moment: 0.0 μB per cell
* crystal system: tetragonal

Cell lengths 7.273, 7.273, 3.187 Å; angles 90.00, 90.00, 90.00 degrees
Element x y z (fractional)
Cu1 0.128 0.372 0.000
Cu2 0.372 0.872 0.000
Cu3 0.628 0.128 0.000
Cu4 0.872 0.628 0.000
Hg1 0.000 0.000 0.000
Hg2 0.500 0.500 0.000
Au1 0.164 0.664 0.500
Au2 0.336 0.164 0.500
Au3 0.664 0.836 0.500
Au4 0.836 0.336 0.500



## b
# Cu2HgAu2

Crystalline Cu2HgAu2 at its relaxed geometry (PBE-GGA, the Alexandria database).

* size of the total moment: 0.0 μB per cell
* crystal system: tetragonal

Cell lengths 7.650, 7.650, 2.927 Å; angles 90.00, 90.00, 90.00 degrees
Element x y z (fractional)
Cu1 0.161 0.339 0.000
Cu2 0.339 0.839 0.000
Cu3 0.661 0.161 0.000
Cu4 0.839 0.661 0.000
Hg1 0.000 0.000 0.500
Hg2 0.500 0.500 0.500
Au1 0.136 0.636 0.500
Au2 0.364 0.136 0.500
Au3 0.636 0.864 0.500
Au4 0.864 0.364 0.500



The most stable arrangement is a, and the next structure is 1.1 kJ/mol of atoms less stable.



## a
# CuHgOs2Au

Crystalline CuHgOs2Au at its relaxed geometry (PBE-GGA, the Alexandria database).

* size of the total moment: 3.9 μB per cell
* crystal system: tetragonal

Cell lengths 4.948, 4.948, 4.683 Å; angles 90.00, 90.00, 90.00 degrees
Element x y z (fractional)
Cu1 0.000 0.000 0.000
Hg1 0.500 0.500 0.000
Os1 0.000 0.500 0.500
Os2 0.500 0.000 0.500
Au1 0.000 0.000 0.500



## b
# CuHgOs2Au

Crystalline CuHgOs2Au at its relaxed geometry (PBE-GGA, the Alexandria database).

* size of the total moment: 4.7 μB per cell
* crystal system: tetragonal

Cell lengths 4.986, 4.986, 5.121 Å; angles 90.00, 90.00, 90.00 degrees
Element x y z (fractional)
Cu1 0.000 0.000 0.000
Hg1 0.500 0.500 0.000
Os1 0.000 0.500 0.500
Os2 0.500 0.000 0.500
Au1 0.500 0.500 0.500



The most stable arrangement is a, and the next structure is 28.3 kJ/mol of atoms less stable.



## a
# Ho4Cu2Au

Crystalline Ho4Cu2Au at its relaxed geometry (PBE-GGA, the Alexandria database).

* size of the total moment: 0.0 μB per cell
* crystal system: trigonal

Cell lengths 8.492, 8.492, 8.492 Å; angles 33.62, 33.62, 33.62 degrees
Element x y z (fractional)
Ho1 0.122 0.122 0.122
Ho2 0.373 0.373 0.373
Ho3 0.627 0.627 0.627
Ho4 0.878 0.878 0.878
Cu1 0.252 0.252 0.252
Cu2 0.748 0.748 0.748
Au1 0.500 0.500 0.500



## b
# Ho4Cu2Au

Crystalline Ho4Cu2Au at its relaxed geometry (PBE-GGA, the Alexandria database).

* size of the total moment: 0.0 μB per cell
* crystal system: triclinic

Cell lengths 6.904, 7.592, 7.723 Å; angles 106.77, 108.96, 106.85 degrees
Element x y z (fractional)
Ho1 0.000 0.000 0.000
Ho2 0.023 0.433 0.823
Ho3 0.309 0.806 0.714
Ho4 0.335 0.512 0.289
Ho5 0.422 0.120 0.482
Ho6 0.608 0.561 0.943
Ho7 0.766 0.320 0.268
Ho8 0.873 0.942 0.471
Cu1 0.064 0.726 0.239
Cu2 0.182 0.346 0.535
Cu3 0.308 0.195 0.867
Cu4 0.695 0.179 0.873
Au1 0.439 0.851 0.132
Au2 0.747 0.617 0.625



The most stable arrangement is b, and the next structure is 1.7 kJ/mol of atoms less stable.



## a
# SmHoCuAu

Crystalline SmHoCuAu at its relaxed geometry (PBE-GGA, the Alexandria database).

* size of the total moment: 0.0 μB per cell
* crystal system: cubic

Cell lengths 5.059, 5.059, 5.059 Å; angles 60.00, 60.00, 60.00 degrees
Element x y z (fractional)
Sm1 0.000 0.000 0.000
Ho1 0.500 0.500 0.500
Cu1 0.250 0.250 0.250
Au1 0.750 0.750 0.750



## b
# SmHoCuAu

Crystalline SmHoCuAu at its relaxed geometry (PBE-GGA, the Alexandria database).

* size of the total moment: 0.0 μB per cell
* crystal system: orthorhombic

Cell lengths 4.569, 5.759, 5.759 Å; angles 38.45, 90.00, 90.00 degrees
Element x y z (fractional)
Sm1 0.000 0.000 0.000
Ho1 0.500 0.279 0.279
Cu1 0.500 0.562 0.562
Au1 0.000 0.719 0.719



The most stable arrangement is b, and the next structure is 2.4 kJ/mol of atoms less stable.



## a
# HoThCuAu

Crystalline HoThCuAu at its relaxed geometry (PBE-GGA, the Alexandria database).

* size of the total moment: 0.0 μB per cell
* crystal system: orthorhombic

Cell lengths 4.470, 5.913, 5.913 Å; angles 37.63, 90.00, 90.00 degrees
Element x y z (fractional)
Ho1 0.000 0.000 0.000
Th1 0.500 0.716 0.716
Cu1 0.000 0.277 0.277
Au1 0.500 0.437 0.437



## b
# HoThCuAu

Crystalline HoThCuAu at its relaxed geometry (PBE-GGA, the Alexandria database).

* size of the total moment: 0.0 μB per cell
* crystal system: cubic

Cell lengths 5.103, 5.103, 5.103 Å; angles 60.00, 60.00, 60.00 degrees
Element x y z (fractional)
Ho1 0.000 0.000 0.000
Th1 0.500 0.500 0.500
Cu1 0.750 0.750 0.750
Au1 0.250 0.250 0.250



The most stable arrangement is a, and the next structure is 5.4 kJ/mol of atoms less stable.